# 1
This record from Alexandria via LeMat-Bulk describes a geometry-optimized ZrPaCuO6 structure. The functional is PBE.

POSCAR file:
```
ZrPaCuO6
1.0
-0.814 -1.394 -4.643
4.554 -2.564 -0.029
-4.367 -2.448 1.501
Zr Pa Cu O
1 1 1 6
direct
0.500 0.667 0.333
0.000 0.333 0.667
0.500 0.000 0.000
0.735 0.678 0.677
0.735 0.323 0.000
0.735 0.000 0.322
0.265 0.323 0.322
0.265 0.678 0.000
0.265 0.000 0.677
```

Results
formation energy without anion corrections = -2.503 eV per atom
total magnetic moment = 0.224 μB/atom
space-group type = P312, No. 149
DOS at the Fermi energy = 0.021 states/eV per atom



# 2
This record from Alexandria via LeMat-Bulk describes a geometry-optimized ZrPaCu2O8 structure. The functional is PBE.

POSCAR file:
```
ZrPaCu2O8
1.0
5.873 0.205 0.000
-2.421 5.355 0.000
-1.726 -2.780 4.881
Zr Pa Cu O
1 1 2 8
direct
0.250 0.750 0.500
0.000 0.000 0.000
0.750 0.250 0.500
0.500 0.500 0.000
0.359 0.036 0.324
0.294 0.480 0.185
0.294 0.109 0.815
0.712 0.036 0.676
0.891 0.706 0.185
0.964 0.288 0.324
0.964 0.641 0.676
0.520 0.706 0.815
```

Results
formation energy without anion corrections = -1.850 eV per atom
total magnetic moment = 0.081 μB/atom
space-group type = I-4m2, No. 119
DOS at the Fermi energy = 0.351 states/eV per atom



# 3
This record from Alexandria via LeMat-Bulk describes a geometry-optimized CuPb4O5 structure. The functional is PBE.

POSCAR file:
```
CuPb4O5
1.0
-0.736 -1.628 -3.382
2.379 -6.611 0.502
-6.427 -2.821 0.593
Cu Pb O
1 4 5
direct
0.001 0.000 0.000
0.413 0.352 0.824
0.765 0.824 0.648
0.237 0.176 0.352
0.589 0.648 0.176
0.825 0.333 0.018
0.159 0.018 0.667
0.844 0.982 0.333
0.177 0.667 0.982
0.501 0.000 0.000
```

Results
formation energy without anion corrections = -0.907 eV per atom
total magnetic moment = 0.000 μB/atom
space-group type = I4/m, No. 87
DOS at the Fermi energy = 0.264 states/eV per atom